Here is PrNd2Sb2Te2 after structural relaxation from Alexandria. Energies are from PBE.

```
PrNd2Sb2Te2
1.0
-2.956 2.956 7.840
2.956 -2.956 7.840
2.956 2.956 -7.840
Pr Nd Sb Te
1 2 2 2
Direct
0.000 0.000 0.000
0.388 0.388 0.000
0.612 0.612 0.000
0.000 0.500 0.500
0.500 0.000 0.500
0.199 0.199 0.000
0.801 0.801 0.000
```

Calculated values
SG	I4/mmm, No. 139
energy relative to the elements, uncorrected	-68	kJ per mole of atoms
total magnetization	0.00	μB per cell
calculated volume	39.14	Å³/atom

---

Here is PrNdSbTe after structural relaxation from Alexandria. Energies are from PBE.

```
PrNdSbTe
1.0
2.262 1.306 7.438
-2.262 1.306 7.438
0.000 -2.612 7.438
Pr Nd Sb Te
1 1 1 1
Direct
0.000 0.000 0.000
0.507 0.507 0.507
0.253 0.253 0.253
0.754 0.754 0.754
```

Calculated values
SG	R3m, No. 160
energy relative to the elements, uncorrected	-131	kJ per mole of atoms
total magnetization	0.00	μB per cell
calculated volume	32.97	Å³/atom

---

Here is Pr2NdThSb4 after structural relaxation from Alexandria. Energies are from PBE.

```
Pr2NdThSb4
1.0
7.850 0.000 0.000
0.000 4.540 0.000
-2.616 0.000 7.407
Pr Nd Th Sb
2 1 1 4
Direct
0.000 0.000 0.000
0.500 0.500 0.000
0.000 0.500 0.500
0.500 0.000 0.500
0.250 0.000 0.747
0.252 0.500 0.253
0.748 0.500 0.747
0.750 0.000 0.253
```

Calculated values
SG	P2/m, No. 10
energy relative to the elements, uncorrected	-110	kJ per mole of atoms
total magnetization	0.00	μB per cell
calculated volume	33.00	Å³/atom

---

Here is PrNd2ThSb4 after structural relaxation from Alexandria. Energies are from PBE.

```
PrNd2ThSb4
1.0
7.836 0.000 0.000
0.000 4.533 0.000
-2.611 0.000 7.392
Pr Nd Th Sb
1 2 1 4
Direct
0.000 0.000 0.000
0.500 0.000 0.500
0.500 0.500 0.000
0.000 0.500 0.500
0.249 0.000 0.748
0.250 0.500 0.252
0.750 0.500 0.748
0.751 0.000 0.252
```

Calculated values
SG	P2/m, No. 10
energy relative to the elements, uncorrected	-110	kJ per mole of atoms
total magnetization	0.00	μB per cell
calculated volume	32.82	Å³/atom

---

Here is PrNdTh2Sb5 after structural relaxation from Alexandria. Energies are from PBE.

```
PrNdTh2Sb5
1.0
5.368 0.000 0.000
0.000 5.368 0.000
0.000 0.000 11.738
Pr Nd Th Sb
1 1 2 5
Direct
0.000 0.000 0.000
0.000 0.000 0.500
0.500 0.500 0.305
0.500 0.500 0.695
0.000 0.000 0.250
0.000 0.000 0.750
0.000 0.500 0.500
0.500 0.000 0.500
0.500 0.500 0.000
```

Calculated values
SG	P4/mmm, No. 123
energy relative to the elements, uncorrected	-7	kJ per mole of atoms
total magnetization	0.00	μB per cell
calculated volume	37.59	Å³/atom

---

Here is Pr3NdTh2Sb6 after structural relaxation from Alexandria. Energies are from PBE.

```
Pr3NdTh2Sb6
1.0
9.887 -2.269 0.000
9.887 2.269 0.000
-2.092 0.000 8.823
Pr Nd Th Sb
3 1 2 6
Direct
0.000 0.000 0.000
0.334 0.334 0.666
0.666 0.666 0.334
0.000 0.000 0.500
0.334 0.334 0.169
0.666 0.666 0.831
0.166 0.166 0.586
0.168 0.168 0.081
0.499 0.499 0.251
0.501 0.501 0.749
0.832 0.832 0.919
0.834 0.834 0.414
```

Calculated values
SG	C2/m, No. 12
energy relative to the elements, uncorrected	-108	kJ per mole of atoms
total magnetization	0.00	μB per cell
calculated volume	32.98	Å³/atom

---

- Which of these has the lowest energy relative to the elements, uncorrected?
  PrNdSbTe